(1)
4
Lattice="-2.555 1.556 -0.803 -2.792 -1.257 0.471 -2.139 4.538 9.624" Properties=species:S:1:pos:R:3 comment="Pa2NbGe, relaxed, DFT PBE-GGA" e_tot_ev_per_atom=-8.1798 pbc="T T T"
Nb 0.000 0.000 0.000
Pa -2.045 3.374 7.072
Pa -5.440 1.463 2.219
Ge -3.743 2.419 4.646

(2)
6
Lattice="4.661 0.000 0.000 2.331 5.229 -1.104 2.331 -0.779 5.287" Properties=species:S:1:pos:R:3 comment="PaNbGe, relaxed, DFT PBE-GGA" e_tot_ev_per_atom=-8.0631 pbc="T T T"
Pa 2.331 4.300 -0.116
Pa 2.331 0.150 4.299
Ge 4.661 3.116 1.143
Ge 4.661 1.334 3.039
Nb 6.992 3.218 3.025
Nb 2.331 1.232 1.158

(3)
4
Lattice="4.520 0.000 0.000 0.000 4.306 0.000 0.000 0.000 4.306" Properties=species:S:1:pos:R:3 comment="Pa2NbGe, relaxed, DFT PBE-GGA" e_tot_ev_per_atom=-8.6425 pbc="T T T"
Nb 2.260 2.153 2.153
Pa 0.000 0.000 2.153
Pa 0.000 2.153 0.000
Ge 2.260 0.000 0.000

(4)
4
Lattice="3.790 0.000 0.000 0.000 3.790 0.000 0.000 0.000 6.187" Properties=species:S:1:pos:R:3 comment="Pa2NbGe, relaxed, DFT PBE-GGA" e_tot_ev_per_atom=-8.5736 pbc="T T T"
Nb 1.895 1.895 3.094
Pa 0.000 0.000 4.771
Pa 0.000 0.000 1.416
Ge 1.895 1.895 0.000

(5)
18
Lattice="-5.766 -0.471 -0.475 0.954 -7.403 -4.244 -0.703 -0.017 8.557" Properties=species:S:1:pos:R:3 comment="Pa3NbGe5, relaxed, DFT PBE-GGA" e_tot_ev_per_atom=-7.4229 pbc="T T T"
Pa -3.958 -3.195 -1.986
Pa -4.170 -4.924 2.301
Pa -4.595 -0.359 2.930
Pa -0.854 -4.678 -2.733
Pa -1.345 -2.967 1.538
Pa -1.875 -0.128 5.153
Nb 0.000 0.000 0.000
Nb -2.883 -0.235 -0.237
Ge -0.151 -2.479 4.290
Ge -2.482 -5.176 -0.214
Ge 0.401 -4.941 0.023
Ge -3.034 -2.714 4.053
Ge -3.627 -5.768 -3.460
Ge -4.257 -2.345 0.802
Ge -4.839 -0.365 5.904
Ge -1.185 -2.105 -1.258
Ge -1.258 -5.545 3.037
Ge -1.630 -0.122 2.179

(6)
10
Lattice="3.717 0.000 0.000 -1.859 6.297 0.000 0.000 0.000 8.519" Properties=species:S:1:pos:R:3 comment="PaNb2Ge2, relaxed, DFT PBE-GGA" e_tot_ev_per_atom=-8.1314 pbc="T T T"
Pa 0.000 5.123 2.916
Pa 1.859 1.175 7.175
Nb 0.000 3.781 8.087
Nb 1.859 2.516 3.827
Nb 0.000 1.390 1.917
Nb 1.859 4.907 6.177
Ge 0.000 3.166 5.561
Ge 1.859 3.132 1.302
Ge 1.859 5.651 0.298
Ge 0.000 0.646 4.558